A plane-wave DFT calculation with PBE-GGA was carried out for a geometry-optimized NpGaGe2 structure.

Structure (POSCAR):
```
NpGaGe2
1.0
-1.389 -2.974 3.023
2.121 -0.364 3.909
-2.632 2.123 4.173
Ga Np Ge
1 1 2
Direct
0.000 0.000 0.000 Ga
0.500 0.500 0.500 Np
0.723 0.723 0.831 Ge
0.277 0.277 0.169 Ge
```

Properties
Crystal system   trigonal
Theoretical density   9.236 g cm⁻³
Total moment   4.11 μB/f.u.
E above lowest polymorph   111 kJ/mol of formula units



A plane-wave DFT calculation with PBE-GGA was carried out for a geometry-optimized Y2Er3Se4 structure.

Structure (POSCAR):
```
Y2Er3Se4
1.0
3.959 0.000 0.003
-1.979 3.429 -0.003
-0.007 0.004 16.638
Er Se Y
3 4 2
Direct
0.334 0.666 0.582 Er
0.666 0.334 0.418 Er
0.000 0.000 0.000 Er
0.666 0.334 0.102 Se
0.999 0.001 0.312 Se
0.334 0.666 0.898 Se
0.001 0.999 0.688 Se
0.333 0.667 0.208 Y
0.667 0.333 0.792 Y
```

Properties
Formation energy without anion corrections   -1.52 eV/atom
Crystal system   monoclinic
Theoretical density   7.317 g cm⁻³
Total moment   0.00 μB/f.u.



A plane-wave DFT calculation with PBE-GGA was carried out for a geometry-optimized Ca2As2Rh structure.

Structure (POSCAR):
```
Ca2As2Rh
1.0
-5.218 -0.717 2.868
1.034 -1.861 -5.607
4.596 -5.745 4.167
As Ca Rh
4 4 2
Direct
0.125 0.375 0.750 As
0.625 0.375 0.250 As
0.625 0.875 0.250 As
0.625 0.375 0.750 As
0.165 0.835 0.000 Ca
0.085 0.915 0.500 Ca
0.415 0.585 0.500 Ca
0.835 0.165 0.000 Ca
0.500 0.500 0.000 Rh
0.750 0.250 0.500 Rh
```

Properties
Crystal system   orthorhombic
E   -0.1734 Ha/atom
Theoretical density   4.653 g cm⁻³
Total moment   0.00 μB/f.u.



A plane-wave DFT calculation with PBE-GGA was carried out for a geometry-optimized Sm2Y3Ho6Sc structure.

Structure (POSCAR):
```
Sm2Y3Ho6Sc
1.0
-3.221 -5.053 -1.200
3.608 0.222 4.927
-8.916 5.722 5.013
Sm Ho Y Sc
2 6 3 1
Direct
0.334 0.666 0.000 Sm
0.666 0.334 0.000 Sm
0.587 0.917 0.752 Ho
0.413 0.083 0.248 Ho
0.083 0.413 0.248 Ho
0.917 0.587 0.752 Ho
0.752 0.752 0.249 Ho
0.248 0.248 0.751 Ho
0.834 0.166 0.500 Y
0.500 0.500 0.500 Y
0.166 0.834 0.500 Y
0.000 0.000 0.000 Sc
```

Properties
Crystal system   monoclinic
E   -0.1907 Ha/atom
Theoretical density   7.122 g cm⁻³
Total moment   0.00 μB/f.u.